No. 1
Below is Dy3Zn3Au2 after structural relaxation, with properties calculated at the PBE-GGA level.

Cell: 7.2847 7.2847 3.8750 Å, 90.00 90.00 120.00°
With the nearest neighbours (Å) after each atom.
Element x y z (fractional)
Dy (0.0000, 0.3963, 0.0000)  4 Au 2.96, 4 Zn 3.17
Dy (0.3963, 0.0000, 0.0000)  4 Au 2.96, 4 Zn 3.17
Dy (0.6037, 0.6037, 0.0000)  4 Au 2.96, 4 Zn 3.17
Zn (0.0000, 0.7788, 0.5000)  2 Zn 2.79, 2 Au 2.92
Zn (0.2212, 0.2212, 0.5000)  2 Zn 2.79, 2 Au 2.92
Zn (0.7788, 0.0000, 0.5000)  2 Zn 2.79, 2 Au 2.92
Au (0.3333, 0.6667, 0.5000)  3 Zn 2.92, 6 Dy 2.96
Au (0.6667, 0.3333, 0.5000)  3 Zn 2.92, 6 Dy 2.96

Space-group type ... No. 189

No. 2
Below is Dy2Zn7Au after structural relaxation, with properties calculated at the PBE-GGA level.

Cell: 4.1187 4.1187 10.9171 Å, 90.00 90.00 90.00°
With the nearest neighbours (Å) after each atom.
Element x y z (fractional)
Dy (0.0000, 0.5000, 0.2437)  14 Zn 3.15-3.47, 2 Au 3.47
Dy (0.5000, 0.0000, 0.7563)  14 Zn 3.15-3.47, 2 Au 3.47
Zn (0.0000, 0.0000, 0.0000)  4 Zn 2.52
Zn (0.0000, 0.5000, 0.6455)  3 Zn 2.41-2.60, 2 Au 2.60
Zn (0.0000, 0.5000, 0.8664)  5 Zn 2.41-2.52
Zn (0.5000, 0.0000, 0.1336)  5 Zn 2.41-2.52
Zn (0.5000, 0.0000, 0.3545)  3 Zn 2.41-2.60, 2 Au 2.60
Zn (0.5000, 0.5000, 0.0000)  4 Zn 2.52
Zn (0.5000, 0.5000, 0.5000)  4 Zn 2.60, 4 Au 2.91
Au (0.0000, 0.0000, 0.5000)  8 Zn 2.60-2.91

Space-group type ... No. 115

No. 3
Below is Dy6Zn5Au after structural relaxation, with properties calculated at the PBE-GGA level.

Cell: 5.0483 7.1513 7.9849 Å, 90.00 108.35 90.00°
With the nearest neighbours (Å) after each atom.
Element x y z (fractional)
Dy (0.0000, 0.2491, 0.0000)  6 Zn 3.09-3.17, 2 Au 3.10
Dy (0.0000, 0.7509, 0.0000)  6 Zn 3.09-3.17, 2 Au 3.10
Dy (0.3334, 0.2477, 0.6665)  7 Zn 3.03-3.10, 1 Au 3.10
Dy (0.3334, 0.7523, 0.6665)  7 Zn 3.03-3.10, 1 Au 3.10
Dy (0.6666, 0.2477, 0.3335)  7 Zn 3.03-3.10, 1 Au 3.10
Dy (0.6666, 0.7523, 0.3335)  7 Zn 3.03-3.10, 1 Au 3.10
Zn (0.1682, 0.0000, 0.3365)  8 Dy 3.07-3.11
Zn (0.1721, 0.5000, 0.3450)  8 Dy 3.03-3.17
Zn (0.5000, 0.0000, 0.0000)  8 Dy 3.09
Zn (0.8279, 0.5000, 0.6550)  8 Dy 3.03-3.17
Zn (0.8318, 0.0000, 0.6635)  8 Dy 3.07-3.11
Au (0.5000, 0.5000, 0.0000)  8 Dy 3.10

Space-group type ... No. 10

No. 4
Below is Dy2Zn5Au after structural relaxation, with properties calculated at the PBE-GGA level.

Cell: 8.3762 8.3762 8.9540 Å, 90.00 90.00 150.59°
With the nearest neighbours (Å) after each atom.
Element x y z (fractional)
Dy (0.0000, 0.0000, 0.0000)  4 Au 3.19, 10 Zn 3.22-3.55
Dy (0.0000, 0.0000, 0.5000)  4 Au 3.19, 10 Zn 3.22-3.55
Dy (0.1944, 0.8056, 0.7500)  11 Zn 3.03-3.20, 2 Au 3.16
Dy (0.8056, 0.1944, 0.2500)  11 Zn 3.03-3.20, 2 Au 3.16
Zn (0.1897, 0.8103, 0.1072)  4 Zn 2.50-2.69
Zn (0.1897, 0.8103, 0.3928)  4 Zn 2.50-2.69
Zn (0.3487, 0.6513, 0.0218)  4 Zn 2.50-2.69, 1 Au 2.62
Zn (0.3487, 0.6513, 0.4782)  4 Zn 2.50-2.69, 1 Au 2.62
Zn (0.3917, 0.6083, 0.7500)  6 Zn 2.53-2.81, 1 Au 2.57
Zn (0.6083, 0.3917, 0.2500)  6 Zn 2.53-2.81, 1 Au 2.57
Zn (0.6513, 0.3487, 0.5218)  4 Zn 2.50-2.69, 1 Au 2.62
Zn (0.6513, 0.3487, 0.9782)  4 Zn 2.50-2.69, 1 Au 2.62
Zn (0.8103, 0.1897, 0.6072)  4 Zn 2.50-2.69
Zn (0.8103, 0.1897, 0.8928)  4 Zn 2.50-2.69
Au (0.4500, 0.5500, 0.2500)  3 Zn 2.57-2.62
Au (0.5500, 0.4500, 0.7500)  3 Zn 2.57-2.62

Space-group type ... No. 63

| no. | energy of formation from the pure elements (meV/atom) |
| --- | --- |
| 1 | -532 |
| 2 | -346 |
| 3 | -428 |
| 4 | -431 |